Material: Sr2CaBi3Pd4
Method: DFT, PBE
State: relaxed

The formation energy is -0.66 eV/atom.

The structure belongs to space group P-4m2 (No. 115); the cell edges are 4.781, 4.781 and 11.513 Å and the angles 90.00°, 90.00° and 90.00°. The distinct sites, in fractional coordinates, are Sr at (0.000, 0.500, 0.223), Ca at (0.000, 0.000, 0.500), Bi at (0.000, 0.500, 0.875), Bi at (0.500, 0.500, 0.500), Pd at (0.000, 0.000, 0.000), Pd at (0.000, 0.500, 0.640) and Pd at (0.500, 0.500, 0.000).

Material: CaTl2BiPd
Method: DFT, PBE
State: relaxed

The formation energy is -0.25 eV/atom.

The structure belongs to space group P4/mmm (No. 123); the cell edges are 5.266, 5.266 and 5.571 Å and the angles 90.00°, 90.00° and 90.00°. The distinct sites, in fractional coordinates, are Ca at (0.000, 0.000, 0.000), Tl at (0.000, 0.500, 0.500), Bi at (0.500, 0.500, 0.000) and Pd at (0.000, 0.000, 0.500).

Material: CaTlBiPd
Method: DFT, PBE
State: relaxed

The formation energy is -0.39 eV/atom.

The structure belongs to space group F-43m (No. 216); the cell edges are 7.322, 7.322 and 7.322 Å and the angles 90.00°, 90.00° and 90.00°. The distinct sites, in fractional coordinates, are Ca at (0.000, 0.000, 0.000), Tl at (0.250, 0.250, 0.750), Bi at (0.250, 0.250, 0.250) and Pd at (0.000, 0.000, 0.500).

Material: CaTlBiPd2
Method: DFT, PBE
State: relaxed

The formation energy is 0.50 eV/atom.

The structure belongs to space group P4/mmm (No. 123); the cell edges are 5.019, 5.019 and 5.668 Å and the angles 90.00°, 90.00° and 90.00°. The distinct sites, in fractional coordinates, are Ca at (0.000, 0.000, 0.000), Tl at (0.000, 0.000, 0.500), Bi at (0.500, 0.500, 0.500) and Pd at (0.000, 0.500, 0.000).